Mo2HO6: relaxed, GGA+U.

a b c (Å): 3.810 3.836 8.755
angles (deg): 75.20 90.00 90.00
Site moments in Bohr magnetons follow the coordinates.
Element x y z (fractional)
Mo 0.000 0.097 0.829  0.90
Mo 0.500 0.899 0.168  0.31
H 0.000 0.475 0.551  0.01
O 0.000 0.940 0.097  -0.02
O 0.500 0.067 0.881  -0.04
O 0.000 0.597 0.827  -0.12
O 0.500 0.415 0.140  -0.03
O 0.000 0.217 0.605  -0.02
O 0.500 0.780 0.370  -0.03

**E above lowest polymorph**: 5 meV/atom